(1)
## NaLaPmMg (PBE)

Data for a geometry-optimized NaLaPmMg structure.

Results
The calculation puts the density of states at the Fermi level at 1.658 states/eV per atom. The value obtained for the volume is 129 Å³ per cell.

a b c (Å): 5.667 5.667 5.667
angles (deg): 60.00 60.00 60.00
Fractional positions:
Na: 0.750 0.750 0.750
Mg: 0.250 0.250 0.250
La: 0.000 0.000 0.000
Pm: 0.500 0.500 0.500



(2)
## NaLa2MgPt (PBE)

Data for a geometry-optimized NaLa2MgPt structure.

Results
The calculation puts the density of states at the Fermi level at 0.945 states/eV per atom. The value obtained for the volume is 171 Å³ per cell.

a b c (Å): 5.702 5.702 5.250
angles (deg): 90.00 90.00 90.00
Fractional positions:
Na: 0.500 0.500 0.500
Mg: 0.000 0.000 0.500
Pt: 0.000 0.000 0.000
La: 0.000 0.500 0.000
La: 0.500 0.000 0.000



For the records above, the corresponding E_form values read 0.1281 -0.3866 eV/atom.
For the records above, the corresponding uncorrected energy values read -12.079 -20.742 eV per cell.
For the records above, the corresponding M_tot values read 0.0 0.0 μB/f.u..